P:
6
Lattice="4.7408 0.0000 0.0000 -2.3704 4.1056 0.0000 0.0000 0.0000 4.3732" Properties=species:S:1:pos:R:3 comment="TcRh5, relaxed, DFT PBE-GGA" space_group="No. 189" crystal_system=hexagonal n_ef_per_ev_cell=8.54 pbc="T T T"
Rh 2.3631 4.0930 0.0000
Rh 2.3631 1.3811 0.0000
Rh 0.0146 2.7371 0.0000
Rh 1.5803 0.0000 2.1866
Rh -0.7901 1.3685 2.1866
Tc 1.5803 2.7371 2.1866



Q:
6
Lattice="-1.5036 2.8868 -3.8321 -2.2572 0.3876 4.4760 2.8804 3.0750 1.1862" Properties=species:S:1:pos:R:3 comment="TcRh5, relaxed, DFT PBE-GGA" space_group="No. 191" crystal_system=hexagonal n_ef_per_ev_cell=8.88 pbc="T T T"
Tc 0.0000 0.0000 0.0000
Rh 0.3116 1.7313 2.8311
Rh -2.0060 1.2207 1.7066
Rh 0.6884 2.9809 -1.3230
Rh -0.4402 3.1747 0.9150
Rh -1.7548 2.0537 -1.0628



Tell me which of them is the least stable. Sure, it is Q.



P:
6
Lattice="-2.7511 6.4730 -9.1629 -2.4224 0.5387 1.1079 1.0482 2.1855 1.2292" Properties=species:S:1:pos:R:3 comment="TcRh5, relaxed, DFT PBE-GGA" space_group="No. 123" crystal_system=tetragonal n_ef_per_ev_cell=7.50 pbc="T T T"
Rh -2.7422 6.4521 -9.1332
Rh -1.1539 2.4605 -0.3863
Rh -0.9170 2.1577 -3.0543
Rh -2.0543 4.5790 -3.3852
Rh -1.8430 4.3363 -6.1383
Tc -2.9797 6.7563 -6.4672



Q:
6
Lattice="6.0687 0.0000 0.0000 -4.8527 3.6441 0.0000 0.0000 0.0000 3.8510" Properties=species:S:1:pos:R:3 comment="TcRh5, relaxed, DFT PBE-GGA" space_group="No. 65" crystal_system=orthorhombic n_ef_per_ev_cell=6.29 pbc="T T T"
Rh 3.9594 0.7038 1.9255
Rh 2.0653 1.3358 0.0000
Rh 0.3048 1.9232 1.9255
Rh -1.4563 2.5108 0.0000
Rh -3.3500 3.1427 1.9255
Tc 5.7651 0.1013 0.0000



Tell me which of them is the least stable. Sure, it is P.



P:
16
Lattice="7.5140 0.0000 -0.0018 0.0000 4.9297 0.0000 3.7518 0.0000 6.5020" Properties=species:S:1:pos:R:3 comment="Tc3Rh5, relaxed, DFT PBE-GGA" space_group="No. 63" crystal_system=orthorhombic n_ef_per_ev_cell=27.27 pbc="T T T"
Rh 1.5927 1.2324 0.0004
Rh 9.6739 3.6973 6.4996
Rh 6.7174 1.2324 1.3772
Rh 0.7953 3.6973 1.3773
Rh 3.7544 4.9297 2.1675
Rh 3.7544 2.4649 2.1675
Rh 7.5109 0.0000 4.3327
Rh 7.5109 2.4648 4.3327
Rh 4.5491 3.6973 5.1226
Rh 2.9572 1.2324 5.1246
Tc 6.8876 3.6973 6.5007
Tc 4.3792 1.2324 -0.0005
Tc 5.9441 3.6973 2.7105
Tc 9.0803 1.2324 2.7129
Tc 5.3217 1.2324 3.7889
Tc 9.6993 3.6973 3.7859



Q:
16
Lattice="-1.3944 4.3226 2.4517 -6.9223 0.7860 -0.6736 -0.4818 -5.3424 4.4962" Properties=species:S:1:pos:R:3 comment="Tc3Rh5, relaxed, DFT PBE-GGA" space_group="No. 15" crystal_system=monoclinic n_ef_per_ev_cell=16.12 pbc="T T T"
Rh -5.0673 -4.3551 3.6907
Rh -5.9783 0.1307 1.3638
Rh -3.7614 -1.0195 2.3774
Rh -2.7428 -2.9072 4.0096
Rh -7.3625 -0.7038 3.5975
Rh -1.4375 0.4691 2.6825
Rh -6.0573 2.6725 2.2704
Rh -5.0387 0.7848 3.9027
Rh -2.8217 -0.3654 4.9163
Rh -3.7327 4.1204 2.5894
Tc -1.3466 -2.0994 1.7659
Tc -7.4394 -3.2830 4.2763
Tc -3.6648 1.6058 1.6923
Tc -5.1352 -1.8405 4.5878
Tc -1.3606 3.0482 2.0038
Tc -6.0590 -2.4579 2.0624



Tell me which of them is the least stable. Sure, it is P.



P:
7
Lattice="-2.1651 -0.6285 9.6490 -5.3232 -3.3285 7.6662 5.1604 0.1748 -8.4573" Properties=species:S:1:pos:R:3 comment="Tc3Rh4, relaxed, DFT PBE-GGA" space_group="No. 139" crystal_system=tetragonal n_ef_per_ev_cell=9.24 pbc="T T T"
Tc 0.0000 0.0000 0.0000
Tc -5.3359 -2.8196 12.3382
Tc -2.1524 -1.1374 4.9770
Rh -6.4173 -3.3910 14.8387
Rh -4.2838 -2.2636 9.9055
Rh -3.2045 -1.6933 7.4097
Rh -1.0710 -0.5660 2.4765



Q:
7
Lattice="1.3841 4.5983 -1.2969 -4.5117 -0.7847 1.9419 1.8010 0.7201 4.4753" Properties=species:S:1:pos:R:3 comment="Tc3Rh4, relaxed, DFT PBE-GGA" space_group="No. 191" crystal_system=hexagonal n_ef_per_ev_cell=9.15 pbc="T T T"
Tc -2.2559 -0.3923 0.9710
Tc -1.5638 1.9068 0.3225
Tc 0.6920 2.2992 -0.6484
Rh 0.4627 0.1850 1.1498
Rh 1.3383 0.5350 3.3254
Rh 0.3193 3.1640 2.0204
Rh -1.6459 1.3697 3.1000



Tell me which of them is the least stable. Sure, it is P.



P:
5
Lattice="-1.7926 3.8057 0.2555 -1.5185 -3.2020 2.2810 3.2477 1.2654 3.9384" Properties=species:S:1:pos:R:3 comment="Tc2Rh3, relaxed, DFT PBE-GGA" space_group="No. 164" crystal_system=trigonal n_ef_per_ev_cell=10.25 pbc="T T T"
Tc -1.2514 1.6450 1.4761
Tc 1.1881 0.2240 4.9988
Rh 0.0000 0.0000 0.0000
Rh 0.3340 2.2628 3.3987
Rh -0.3974 -0.3937 3.0762



Q:
20
Lattice="4.1080 0.0000 0.0000 0.0000 8.1554 0.0000 0.0000 0.0000 9.2684" Properties=species:S:1:pos:R:3 comment="Tc2Rh3, relaxed, DFT PBE-GGA" space_group="No. 62" crystal_system=orthorhombic n_ef_per_ev_cell=17.47 pbc="T T T"
Tc 1.0270 1.3289 4.1871
Tc 1.0270 2.7488 8.8213
Tc 3.0810 6.8265 5.0813
Tc 3.0810 5.4066 0.4471
Tc 3.0810 4.5746 6.4696
Tc 3.0810 7.6584 1.8354
Tc 1.0270 3.5808 2.7988
Tc 1.0270 0.4969 7.4330
Rh 1.0270 5.1963 4.9302
Rh 1.0270 7.0367 0.2961
Rh 3.0810 2.9590 4.3381
Rh 3.0810 1.1186 8.9723
Rh 3.0810 1.0574 6.0439
Rh 3.0810 3.0203 1.4097
Rh 1.0270 7.0979 3.2245
Rh 1.0270 5.1351 7.8587
Rh 1.0270 2.9159 6.2950
Rh 1.0270 1.1618 1.6608
Rh 3.0810 5.2395 2.9734
Rh 3.0810 6.9935 7.6076



Tell me which of them is the least stable. Sure, it is P.



P:
10
Lattice="3.8856 -4.9869 5.0352 -0.8284 -6.1922 3.2833 4.4122 -2.2698 -1.4571" Properties=species:S:1:pos:R:3 comment="Tc2Rh3, relaxed, DFT PBE-GGA" space_group="No. 43" crystal_system=orthorhombic n_ef_per_ev_cell=12.53 pbc="T T T"
Tc 1.7881 -5.6235 3.3434
Tc 5.7608 -6.9101 4.3631
Tc 3.5325 -9.7945 5.9462
Tc 3.8656 -4.4766 0.1559
Rh 4.1769 -6.1844 2.1526
Rh 3.2364 -7.9115 4.1114
Rh 5.7697 -11.3514 5.8482
Rh 5.3783 -9.4689 3.8464
Rh 3.8623 -5.2552 4.7874
Rh 1.8441 -3.6306 1.4675



Q:
5
Lattice="0.9085 -3.5952 6.6284 -1.7736 -5.4379 4.9969 1.6955 -6.1357 4.1430" Properties=species:S:1:pos:R:3 comment="Tc2Rh3, relaxed, DFT PBE-GGA" space_group="No. 166" crystal_system=trigonal n_ef_per_ev_cell=7.78 pbc="T T T"
Tc 0.4956 -9.0520 9.4098
Tc 0.3349 -6.1168 6.3585
Rh 0.0000 0.0000 0.0000
Rh 0.6570 -12.0002 12.4744
Rh 0.1735 -3.1686 3.2939



Tell me which of them is the least stable. Sure, it is Q.



P:
4
Lattice="-1.5356 0.3009 -2.9729 -4.7340 -2.3689 2.2055 -4.4938 2.0070 2.5243" Properties=species:S:1:pos:R:3 comment="TcTe2Rh, relaxed, DFT PBE-GGA" space_group="No. 10" crystal_system=monoclinic n_ef_per_ev_cell=3.27 pbc="T T T"
Rh -5.3817 -0.0305 0.8784
Tc -2.2469 1.0035 1.2622
Te 0.0000 0.0000 0.0000
Te -3.1348 -1.0340 -0.3837



Q:
4
Lattice="5.5814 0.0101 0.0000 2.7722 4.8443 0.0000 -4.1768 -2.4272 2.7955" Properties=species:S:1:pos:R:3 comment="TcTe2Rh, relaxed, DFT PBE-GGA" space_group="No. 119" crystal_system=tetragonal n_ef_per_ev_cell=5.11 pbc="T T T"
Rh 4.1768 2.4272 0.0000
Tc 2.7907 0.0051 1.3978
Te 0.0000 0.0000 0.0000
Te 1.3861 2.4221 1.3978



R:
4
Lattice="8.1814 -0.0037 -0.0022 7.5032 3.2616 -0.0022 7.5032 1.5585 2.8652" Properties=species:S:1:pos:R:3 comment="TcTe2Rh, relaxed, DFT PBE-GGA" space_group="No. 166" crystal_system=trigonal n_ef_per_ev_cell=3.93 pbc="T T T"
Rh 5.7969 1.2041 0.7152
Tc 17.3908 3.6123 2.1456
Te 0.0243 0.0051 0.0030
Te 11.5695 2.4032 1.4274



Tell me which of them is the least stable. Sure, it is Q.



P:
4
Lattice="-0.4921 -2.4433 2.2409 2.4213 1.2827 1.9303 -4.4806 3.7635 3.1195" Properties=species:S:1:pos:R:3 comment="TcTe2Rh, relaxed, DFT PBE-GGA" space_group="No. 123" crystal_system=tetragonal n_ef_per_ev_cell=3.66 pbc="T T T"
Rh -0.1556 0.3605 2.8655
Tc -2.3959 2.2423 4.4252
Te -4.4751 3.7589 3.1157
Te -2.2458 1.8864 1.5636



Q:
4
Lattice="-4.2010 2.1083 0.5786 -2.2512 1.8569 -3.7299 -3.9302 -2.0570 -1.6585" Properties=species:S:1:pos:R:3 comment="TcTe2Rh, relaxed, DFT PBE-GGA" space_group="No. 225" crystal_system=cubic n_ef_per_ev_cell=3.12 pbc="T T T"
Te -2.5956 0.4770 -1.2024
Te -7.7868 1.4311 -3.6073
Rh -5.1912 0.9541 -2.4049
Tc 0.0000 0.0000 0.0000



Tell me which of them is the least stable. Sure, it is Q.